(1)
Dy5Cd2Pb: relaxed, PBE.

Values from the calculation:
* calculated volume: 28.51 A^3/atom
* ΔH_f (0 K): -0.292 eV per atom

Cell lengths 8.3389, 8.3389, 8.8198 Å; angles 118.21, 118.21, 90.00 degrees
Closest atoms and distances in Å follow each position.
Sites, in units of the cell vectors:
Dy1 0.1949 0.0032 0.6981  3 Cd 3.14-3.16, 2 Pb 3.41, 1 Dy 3.44
Pb1 0.7500 0.7500 0.5000  10 Dy 3.28-3.41
Cd1 0.6372 0.1372 0.0000  8 Dy 3.14-3.23, 1 Cd 3.24
Cd2 0.3628 0.8628 0.0000  8 Dy 3.14-3.23, 1 Cd 3.24
Dy2 0.5032 0.6949 0.6981  3 Cd 3.14-3.16, 2 Pb 3.41, 1 Dy 3.44
Dy3 0.6949 0.1949 0.6981  3 Cd 3.14-3.16, 2 Pb 3.41, 1 Dy 3.44
Dy4 0.0032 0.5032 0.6981  3 Cd 3.14-3.16, 2 Pb 3.41, 1 Dy 3.44
Dy5 0.5000 0.5000 0.0000  4 Cd 3.23, 2 Pb 3.28
Dy6 0.4968 0.3051 0.3019  3 Cd 3.14-3.16, 2 Pb 3.41, 1 Dy 3.44
Dy7 0.8051 0.9968 0.3019  3 Cd 3.14-3.16, 2 Pb 3.41, 1 Dy 3.44
Cd3 0.1372 0.3628 0.0000  8 Dy 3.14-3.23, 1 Cd 3.24
Dy8 0.0000 0.0000 0.0000  4 Cd 3.23, 2 Pb 3.28
Cd4 0.8628 0.6372 0.0000  8 Dy 3.14-3.23, 1 Cd 3.24
Dy9 0.3051 0.8051 0.3019  3 Cd 3.14-3.16, 2 Pb 3.41, 1 Dy 3.44
Pb2 0.2500 0.2500 0.5000  10 Dy 3.28-3.41
Dy10 0.9968 0.4968 0.3019  3 Cd 3.14-3.16, 2 Pb 3.41, 1 Dy 3.44

=====

(2)
Pr6Dy2Y: relaxed, PBE.

Values from the calculation:
* calculated volume: 34.61 A^3/atom
* ΔH_f (0 K): 0.080 eV per atom
* energy above the most stable polymorph in this dataset: 0.000 eV per atom

Cell lengths 6.3081, 10.2355, 10.2355 Å; angles 71.50, 84.87, 84.87 degrees
Closest atoms and distances in Å follow each position.
Sites, in units of the cell vectors:
Dy1 0.0854 0.2321 0.4352  8 Pr 3.48-3.59
Pr1 0.3185 0.7399 0.0225  4 Pr 3.39-3.71, 2 Y 3.51-3.57, 2 Dy 3.55-3.59
Pr2 0.8185 0.0225 0.7399  4 Pr 3.39-3.71, 2 Y 3.51-3.57, 2 Dy 3.55-3.59
Dy2 0.4146 0.5648 0.7679  8 Pr 3.48-3.59
Pr3 0.1530 0.3546 0.0767  4 Pr 3.40-3.71, 3 Dy 3.48-3.57, 1 Y 3.60
Dy3 0.5854 0.4352 0.2321  8 Pr 3.48-3.59
Pr4 0.0142 0.5907 0.3127  4 Pr 3.39-3.69, 3 Dy 3.48-3.58, 1 Y 3.58
Pr5 0.3470 0.9233 0.6454  4 Pr 3.40-3.71, 3 Dy 3.48-3.57, 1 Y 3.60
Pr6 0.5142 0.3127 0.5907  4 Pr 3.39-3.69, 3 Dy 3.48-3.58, 1 Y 3.58
Pr7 0.4858 0.6873 0.4093  4 Pr 3.39-3.69, 3 Dy 3.48-3.58, 1 Y 3.58
Pr8 0.6530 0.0767 0.3546  4 Pr 3.40-3.71, 3 Dy 3.48-3.57, 1 Y 3.60
Pr9 0.1815 0.9775 0.2601  4 Pr 3.39-3.71, 2 Y 3.51-3.57, 2 Dy 3.55-3.59
Pr10 0.8470 0.6454 0.9233  4 Pr 3.40-3.71, 3 Dy 3.48-3.57, 1 Y 3.60
Pr11 0.9858 0.4093 0.6873  4 Pr 3.39-3.69, 3 Dy 3.48-3.58, 1 Y 3.58
Y1 0.7500 0.8990 0.1010  8 Pr 3.51-3.60
Y2 0.2500 0.1010 0.8990  8 Pr 3.51-3.60
Dy4 0.9146 0.7679 0.5648  8 Pr 3.48-3.59
Pr12 0.6815 0.2601 0.9775  4 Pr 3.39-3.71, 2 Y 3.51-3.57, 2 Dy 3.55-3.59

=====

(3)
CeDyPt: relaxed, PBE.

Values from the calculation:
* calculated volume: 26.65 A^3/atom
* ΔH_f (0 K): -0.781 eV per atom
* energy above the most stable polymorph in this dataset: 0.000 eV per atom

Cell lengths 3.7980, 6.3937, 6.8948 Å; angles 90.00, 90.00, 107.28 degrees
Closest atoms and distances in Å follow each position.
Sites, in units of the cell vectors:
Ce1 0.7875 0.5750 0.2500  2 Pt 2.83
Dy1 0.5000 0.0000 0.5000  4 Pt 2.93
Pt1 0.1155 0.2311 0.2500  2 Ce 2.83, 4 Dy 2.93
Pt2 0.8845 0.7689 0.7500  2 Ce 2.83, 4 Dy 2.93
Ce2 0.2125 0.4250 0.7500  2 Pt 2.83
Dy2 0.5000 0.0000 0.0000  4 Pt 2.93

=====

(4)
Pr2ErSn3Pt4: relaxed, PBE.

Values from the calculation:
* calculated volume: 23.56 A^3/atom
* ΔH_f (0 K): -0.926 eV per atom

Cell lengths 4.6192, 4.6192, 11.0430 Å; angles 90.00, 90.00, 90.00 degrees
Closest atoms and distances in Å follow each position.
Sites, in units of the cell vectors:
Pt1 0.5000 0.0000 0.6395  3 Sn 2.60-2.78, 2 Er 2.78
Pt2 0.0000 0.0000 0.0000  4 Sn 2.69
Pr1 0.0000 0.5000 0.7779  8 Pt 3.37-3.61, 4 Sn 3.44
Pt3 0.5000 0.5000 0.0000  4 Sn 2.69
Pt4 0.0000 0.5000 0.3605  3 Sn 2.60-2.78, 2 Er 2.78
Sn1 0.5000 0.0000 0.8750  5 Pt 2.60-2.69
Sn2 0.0000 0.0000 0.5000  4 Pt 2.78
Sn3 0.0000 0.5000 0.1250  5 Pt 2.60-2.69
Pr2 0.5000 0.0000 0.2221  8 Pt 3.37-3.61, 4 Sn 3.44
Er1 0.5000 0.5000 0.5000  4 Pt 2.78

=====

(5)
Zn2P2H10O11: relaxed, PBE.

Values from the calculation:
* calculated volume: 11.17 A^3/atom
* E: -5.204 eV per atom

Cell lengths 7.5704, 7.7518, 9.5222 Å; angles 90.02, 88.26, 89.39 degrees
Closest atoms and distances in Å follow each position.
Sites, in units of the cell vectors:
O1 0.9556 0.0689 0.2110  1 H 1.81
H1 0.1060 0.5964 0.7317  1 O 1.00
O2 0.4612 0.7098 0.8664  1 P 1.54
H2 0.0742 0.1632 0.9029  1 O 0.98
O3 0.7621 0.4186 0.9538  1 P 1.52
H3 0.9030 0.6882 0.4649  1 P 1.41
H4 0.8940 0.4036 0.2683  1 O 1.00
Zn1 0.5000 0.0000 0.5000  6 O 2.05-2.16
O4 0.2379 0.5814 0.0462  1 P 1.52
O5 0.2838 0.5292 0.6252  1 P 1.57, 1 H 1.74
H5 0.1049 0.3852 0.2585  1 O 1.01
P1 0.6247 0.2818 0.9851  1 H 1.41, 3 O 1.52-1.57
O6 0.2785 0.4429 0.3635  1 P 1.55, 1 H 1.74
O7 0.7162 0.4708 0.3748  1 P 1.57, 1 H 1.74
Zn2 0.0000 0.5000 0.0000  4 O 1.98-2.17
O8 0.5146 0.7118 0.1333  1 P 1.57
O9 0.7502 0.1237 0.4554  2 H 0.99
P2 0.2694 0.3773 0.5175  1 H 1.41, 3 O 1.52-1.57
O10 0.2498 0.8763 0.5446  2 H 0.99
H6 0.5338 0.8870 0.7704  1 O 0.99
O11 0.1232 0.2790 0.8947  2 H 0.98-0.99
H7 0.2713 0.7516 0.5585  1 O 0.99
O12 0.0444 0.9311 0.7890  1 H 1.81
Zn3 0.5023 0.5005 0.7453  4 O 1.98-2.05
H8 0.8269 0.0882 0.3741  1 O 0.99
P3 0.7306 0.6227 0.4825  1 H 1.41, 3 O 1.52-1.57
H9 0.2979 0.8847 0.0250  1 P 1.41
H10 0.0970 0.3118 0.5351  1 P 1.41
P4 0.3753 0.7182 0.0149  1 H 1.41, 3 O 1.52-1.57
H11 0.9258 0.8368 0.0971  1 O 0.98
H12 0.7459 0.7308 0.1027  1 O 0.99
H13 0.8951 0.6148 0.7415  1 O 1.01
O13 0.0053 0.6359 0.7951  2 H 1.00-1.01
H14 0.2541 0.2692 0.8973  1 O 0.99
O14 0.9947 0.3641 0.2049  2 H 1.00-1.01
H15 0.7021 0.1153 0.9750  1 P 1.41
H16 0.1731 0.9118 0.6259  1 O 0.99
H17 0.4662 0.1130 0.2296  1 O 0.99
Zn4 0.4977 0.4995 0.2547  4 O 1.98-2.05
O15 0.5930 0.7581 0.4466  1 P 1.52
O16 0.5794 0.9843 0.7123  2 H 0.99
O17 0.4854 0.2882 0.8667  1 P 1.57
H18 0.5371 0.0917 0.7586  1 O 0.99
O18 0.4206 0.0157 0.2877  2 H 0.99
O19 0.8768 0.7210 0.1053  2 H 0.98-0.99
O20 0.5388 0.2902 0.1336  1 P 1.54
O21 0.4070 0.2419 0.5534  1 P 1.52
H19 0.4629 0.9083 0.2414  1 O 0.99
H20 0.7287 0.2484 0.4415  1 O 0.99
O22 0.7215 0.5571 0.6365  1 P 1.55, 1 H 1.74

=====

(6)
Tl17Hg2: relaxed, PBE.

Values from the calculation:
* calculated volume: 33.09 A^3/atom
* ΔH_f (0 K): 0.082 eV per atom

Cell lengths 8.6879, 8.6879, 8.6879 Å; angles 79.96, 79.96, 79.96 degrees
Closest atoms and distances in Å follow each position.
Sites, in units of the cell vectors:
Hg1 0.6998 0.6998 0.6998  4 Tl 3.47-3.82
Tl1 0.5000 0.0000 0.0000  10 Tl 3.36-3.42
Tl2 0.0000 0.2929 0.7071  6 Tl 3.25-3.36
Hg2 0.3002 0.3002 0.3002  4 Tl 3.47-3.82
Tl3 0.0000 0.0000 0.5000  10 Tl 3.36-3.42
Tl4 0.7071 0.0000 0.2929  6 Tl 3.25-3.36
Tl5 0.2929 0.7071 0.0000  6 Tl 3.25-3.36
Tl6 0.8487 0.3803 0.3803  6 Tl 3.25-3.39
Tl7 0.2929 0.0000 0.7071  6 Tl 3.25-3.36
Tl8 0.7071 0.2929 0.0000  6 Tl 3.25-3.36
Tl9 0.1019 0.1019 0.1019  10 Tl 3.42-3.72, 1 Hg 3.47
Tl10 0.6197 0.6197 0.1513  6 Tl 3.25-3.39
Tl11 0.3803 0.8487 0.3803  6 Tl 3.25-3.39
Tl12 0.6197 0.1513 0.6197  6 Tl 3.25-3.39
Tl13 0.8981 0.8981 0.8981  10 Tl 3.42-3.72, 1 Hg 3.47
Tl14 0.0000 0.7071 0.2929  6 Tl 3.25-3.36
Tl15 0.0000 0.5000 0.0000  10 Tl 3.36-3.42
Tl16 0.3803 0.3803 0.8487  6 Tl 3.25-3.39
Tl17 0.1513 0.6197 0.6197  6 Tl 3.25-3.39

=====

(7)
CsHfTc2: relaxed, PBE.

Values from the calculation:
* calculated volume: 19.92 A^3/atom
* ΔH_f (0 K): 1.424 eV per atom
* energy above the most stable polymorph in this dataset: 0.000 eV per atom

Cell lengths 4.8300, 4.8300, 4.8300 Å; angles 60.00, 60.00, 60.00 degrees
Closest atoms and distances in Å follow each position.
Sites, in units of the cell vectors:
Tc1 0.2500 0.2500 0.2500  4 Hf 2.96, 4 Cs 2.96
Cs1 0.0000 0.0000 0.0000  8 Tc 2.96
Hf1 0.5000 0.5000 0.5000  8 Tc 2.96
Tc2 0.7500 0.7500 0.7500  4 Hf 2.96, 4 Cs 2.96

=====

(8)
Pm5PrGa4: relaxed, PBE.

Values from the calculation:
* calculated volume: 26.92 A^3/atom
* ΔH_f (0 K): -0.439 eV per atom

Cell lengths 3.6419, 3.6419, 20.2938 Å; angles 90.00, 90.00, 90.00 degrees
Closest atoms and distances in Å follow each position.
Sites, in units of the cell vectors:
Ga1 0.0000 0.0000 0.2230  8 Pm 3.14-3.20
Pm1 0.5000 0.5000 0.1344  4 Ga 3.14
Pm2 0.5000 0.5000 0.3165  8 Ga 3.18-3.20
Ga2 0.0000 0.0000 0.5919  8 Pm 3.18
Pm3 0.5000 0.5000 0.5000  8 Ga 3.18
Ga3 0.0000 0.0000 0.4081  8 Pm 3.18
Ga4 0.0000 0.0000 0.7770  8 Pm 3.14-3.20
Pm4 0.5000 0.5000 0.6835  8 Ga 3.18-3.20
Pm5 0.5000 0.5000 0.8656  4 Ga 3.14
Pr1 0.0000 0.0000 0.0000  4 Pr 3.64, 8 Pm 3.75

=====

| no. | mass density (Mg/m³) |
| --- | --- |
| 1 | 9.062 |
| 2 | 6.714 |
| 3 | 10.339 |
| 4 | 11.174 |
| 5 | 2.253 |
| 6 | 10.235 |
| 7 | 10.575 |
| 8 | 7.063 |